The following is a DFT calculation (meta-GGA SCAN) of a crystal of LiTcHg relaxed with PBEsol.

- Density of states at the Fermi level: 0.5561 states/eV/atom
- Size of the total moment: 0.0 μB/f.u.
- SG: No. 107
- Calculated total energy: -104.6 eV per cell

```
LiTcHg
1.0
-1.338 1.338 6.662
1.338 -1.338 6.662
1.338 1.338 -6.662
Li Tc Hg
1 1 1
Direct
0.000 0.000 0.000
0.342 0.342 0.000
0.667 0.667 0.000
```